Record 1
The following is a PBE calculation of Ta2BePb after structural relaxation, from the Alexandria database.

CIF file:
```
data_Ta2BePb
_chemical_formula_sum 'Ta2 Be1 Pb1'
_cell_length_a 4.0074
_cell_length_b 4.0074
_cell_length_c 4.4130
_cell_angle_alpha 90.00
_cell_angle_beta 90.00
_cell_angle_gamma 90.00
_space_group_name_H-M_alt 'P 4/m m m'
_space_group_IT_number 123
_space_group_name_Hall '-P 4 2'
loop_
_atom_site_label
_atom_site_fract_x
_atom_site_fract_y
_atom_site_fract_z
Ta1 0.0000 0.5000 0.0000
Be1 0.0000 0.0000 0.5000
Pb1 0.5000 0.5000 0.5000
```

The energy relative to the elements comes out at 472 meV/atom. Its distance to the lowest polymorph of the same formula is 132.9 meV/atom. The density of states at the Fermi level comes out at 1.30 states/eV per cell. The energy is -7.31 eV per atom.

---

Record 2
The following is a PBE calculation of TaBePb3 after structural relaxation, from the Alexandria database.

CIF file:
```
data_TaBePb3
_chemical_formula_sum 'Ta1 Be1 Pb3'
_cell_length_a 5.5141
_cell_length_b 5.5141
_cell_length_c 5.5141
_cell_angle_alpha 90.00
_cell_angle_beta 90.00
_cell_angle_gamma 90.00
_space_group_name_H-M_alt 'P m -3 m'
_space_group_IT_number 221
_space_group_name_Hall '-P 4 2 3'
loop_
_atom_site_label
_atom_site_fract_x
_atom_site_fract_y
_atom_site_fract_z
Ta1 0.0000 0.0000 0.0000
Be1 0.5000 0.5000 0.5000
Pb1 0.0000 0.0000 0.5000
```

The energy relative to the elements comes out at 1023 meV/atom. Its distance to the lowest polymorph of the same formula is 0.0 meV/atom. The density of states at the Fermi level comes out at 2.25 states/eV per cell. The energy is -4.32 eV per atom.

---

Record 3
The following is a PBE calculation of TaBe2Pb after structural relaxation, from the Alexandria database.

CIF file:
```
data_TaBe2Pb
_chemical_formula_sum 'Ta2 Be4 Pb2'
_cell_length_a 3.9692
_cell_length_b 4.8787
_cell_length_c 6.5925
_cell_angle_alpha 90.00
_cell_angle_beta 90.00
_cell_angle_gamma 90.00
_space_group_name_H-M_alt 'C m m 2'
_space_group_IT_number 35
_space_group_name_Hall 'C 2 -2'
loop_
_atom_site_label
_atom_site_fract_x
_atom_site_fract_y
_atom_site_fract_z
Ta1 0.0000 0.0000 0.0000
Be1 0.0000 0.0000 0.3679
Be2 0.0000 0.5000 0.2300
Pb1 0.0000 0.5000 0.6560
```

The energy relative to the elements comes out at 514 meV/atom. The density of states at the Fermi level comes out at 2.75 states/eV per cell. The energy is -5.24 eV per atom.

---

Record 4
The following is a PBE calculation of TaBe2Pb after structural relaxation, from the Alexandria database.

CIF file:
```
data_TaBe2Pb
_chemical_formula_sum 'Ta4 Be8 Pb4'
_cell_length_a 6.8631
_cell_length_b 6.8631
_cell_length_c 5.6334
_cell_angle_alpha 90.00
_cell_angle_beta 90.00
_cell_angle_gamma 90.00
_space_group_name_H-M_alt 'I -4 2 d'
_space_group_IT_number 122
_space_group_name_Hall 'I -4 2bw'
loop_
_atom_site_label
_atom_site_fract_x
_atom_site_fract_y
_atom_site_fract_z
Ta1 0.0000 0.0000 0.0000
Be1 0.2476 0.7500 0.1250
Pb1 0.0000 0.0000 0.5000
```

The energy relative to the elements comes out at 838 meV/atom. The density of states at the Fermi level comes out at 11.03 states/eV per cell. The energy is -4.92 eV per atom.

---

Record 5
The following is a PBE calculation of Ta2BePb after structural relaxation, from the Alexandria database.

CIF file:
```
data_Ta2BePb
_chemical_formula_sum 'Ta6 Be3 Pb3'
_cell_length_a 3.4026
_cell_length_b 3.4026
_cell_length_c 21.6451
_cell_angle_alpha 90.00
_cell_angle_beta 90.00
_cell_angle_gamma 120.00
_space_group_name_H-M_alt 'R -3 m'
_space_group_IT_number 166
_space_group_name_Hall '-R 3 2"'
loop_
_atom_site_label
_atom_site_fract_x
_atom_site_fract_y
_atom_site_fract_z
Ta1 0.0000 0.0000 0.2247
Be1 0.0000 0.0000 0.5000
Pb1 0.0000 0.0000 0.0000
```

The energy relative to the elements comes out at 374 meV/atom. Its distance to the lowest polymorph of the same formula is 34.7 meV/atom. The density of states at the Fermi level comes out at 4.28 states/eV per cell. The energy is -7.41 eV per atom.

---

Record 6
The following is a PBE calculation of Ta2BePb after structural relaxation, from the Alexandria database.

CIF file:
```
data_Ta2BePb
_chemical_formula_sum 'Ta8 Be4 Pb4'
_cell_length_a 6.5751
_cell_length_b 6.5751
_cell_length_c 6.5751
_cell_angle_alpha 90.00
_cell_angle_beta 90.00
_cell_angle_gamma 90.00
_space_group_name_H-M_alt 'F m -3 m'
_space_group_IT_number 225
_space_group_name_Hall '-F 4 2 3'
loop_
_atom_site_label
_atom_site_fract_x
_atom_site_fract_y
_atom_site_fract_z
Ta1 0.2500 0.2500 0.2500
Be1 0.0000 0.0000 0.0000
Pb1 0.0000 0.0000 0.5000
```

The energy relative to the elements comes out at 778 meV/atom. Its distance to the lowest polymorph of the same formula is 439.7 meV/atom. The density of states at the Fermi level comes out at 17.11 states/eV per cell. The energy is -7.01 eV per atom.

---

Record 7
The following is a PBE calculation of Ta2BePb after structural relaxation, from the Alexandria database.

CIF file:
```
data_Ta2BePb
_chemical_formula_sum 'Ta2 Be1 Pb1'
_cell_length_a 3.4695
_cell_length_b 3.4695
_cell_length_c 6.1698
_cell_angle_alpha 90.00
_cell_angle_beta 90.00
_cell_angle_gamma 90.00
_space_group_name_H-M_alt 'P 4 m m'
_space_group_IT_number 99
_space_group_name_Hall 'P 4 -2'
loop_
_atom_site_label
_atom_site_fract_x
_atom_site_fract_y
_atom_site_fract_z
Ta1 0.0000 0.0000 0.0000
Ta2 0.5000 0.5000 0.2103
Be1 0.0000 0.0000 0.4032
Pb1 0.5000 0.5000 0.6833
```

The energy relative to the elements comes out at 339 meV/atom. Its distance to the lowest polymorph of the same formula is 0.0 meV/atom. The density of states at the Fermi level comes out at 1.89 states/eV per cell. The energy is -7.45 eV per atom.

---

Record 8
The following is a PBE calculation of Ta2BePb after structural relaxation, from the Alexandria database.

CIF file:
```
data_Ta2BePb
_chemical_formula_sum 'Ta8 Be4 Pb4'
_cell_length_a 3.9207
_cell_length_b 3.9207
_cell_length_c 20.1690
_cell_angle_alpha 90.00
_cell_angle_beta 90.00
_cell_angle_gamma 90.00
_space_group_name_H-M_alt 'I -4 2 d'
_space_group_IT_number 122
_space_group_name_Hall 'I -4 2bw'
loop_
_atom_site_label
_atom_site_fract_x
_atom_site_fract_y
_atom_site_fract_z
Ta1 0.2426 0.2500 0.1250
Be1 0.0000 0.0000 0.0000
Pb1 0.0000 0.0000 0.5000
```

The energy relative to the elements comes out at 806 meV/atom. Its distance to the lowest polymorph of the same formula is 467.5 meV/atom. The density of states at the Fermi level comes out at 10.13 states/eV per cell. The energy is -6.98 eV per atom.